A geometry-optimized AcFeBiO6 structure. Source: Alexandria via LeMat-Bulk, functional PBE with a Hubbard U.

VASP energy ... -55.76 eV for the cell shown

a = 4.690 Å, b = 5.702 Å, c = 5.702 Å
α = 120.00°, β = 90.00°, γ = 90.00°
Each line ends with the local moment (μB).
Positions (direct):
O 0.255 0.280 0.321  0.24
O 0.745 0.280 0.959  0.24
O 0.255 0.679 0.959  0.24
O 0.255 0.041 0.720  0.24
O 0.745 0.679 0.720  0.24
O 0.745 0.041 0.321  0.24
Bi 0.000 0.333 0.667  0.02
Ac 0.500 0.667 0.333  0.02
Fe 0.500 0.000 0.000  4.24